This record from Alexandria describes Rb2HfO after structural relaxation. The functional is PBE.

Uncorrected formation energy   27.0 kcal/mol of atoms

a b c (Å): 5.836 5.836 5.836
angles (deg): 60.00 60.00 60.00
Sites, in units of the cell vectors:
Rb  0.750  0.750  0.750
O  0.000  0.000  0.000
Hf  0.500  0.500  0.500
Rb  0.250  0.250  0.250